Computed, not measured: a relaxed structure of TlIn2Rh at the GGA-PBE level of DFT.

Energy of formation from the pure elements   -0.051 eV per atom
Total DFT energy (no corrections)   -15.397 eV/cell
Symmetry   Immm
DOS at the Fermi energy   2.22 states/eV/cell

Cell: 7.1077 7.1077 7.1077 Å, 155.02 141.45 46.49°
Closest atoms and distances in Å follow each position.
Atoms (fractional coordinates):
1 Tl 0.5000 0.0000 0.5000  4 Rh 2.81, 2 Tl 3.07
2 In 0.1850 0.1850 0.0000  2 Rh 2.86, 2 In 3.07
3 In 0.8150 0.8150 0.0000  2 Rh 2.86, 2 In 3.07
4 Rh 0.0000 0.5000 0.5000  4 Tl 2.81, 4 In 2.86, 2 Rh 3.07

---

Computed, not measured: a relaxed structure of LaTbY2S4 at the GGA-PBE level of DFT.

Total DFT energy (no corrections)   -55.274 eV/cell
Symmetry   P2/m
DOS at the Fermi energy   4.99 states/eV/cell

Cell: 3.9432 6.9278 6.9129 Å, 70.96 90.00 90.00°
Closest atoms and distances in Å follow each position.
Atoms (fractional coordinates):
1 Y 0.5000 0.0000 0.5000  6 S 2.74-2.75
2 Y 0.0000 0.0000 0.0000  6 S 2.81-2.82
3 S 0.5000 0.2433 0.7446  3 Y 2.75-2.81, 2 Tb 2.82, 1 La 2.89
4 Tb 0.0000 0.5000 0.5000  6 S 2.82
5 S 0.0000 0.2369 0.2625  3 Y 2.74-2.82, 1 Tb 2.82, 2 La 2.89
6 S 0.5000 0.7567 0.2554  3 Y 2.75-2.81, 2 Tb 2.82, 1 La 2.89
7 S 0.0000 0.7631 0.7375  3 Y 2.74-2.82, 1 Tb 2.82, 2 La 2.89
8 La 0.5000 0.5000 0.0000  6 S 2.89

---

Computed, not measured: a relaxed structure of K8RbAg2O at the GGA-PBE level of DFT.

Total DFT energy (no corrections)   -23.196 eV/cell
Symmetry   P-1
DOS at the Fermi energy   5.07 states/eV/cell

Cell: 8.0649 7.6297 12.3361 Å, 57.45 96.69 112.96°
Closest atoms and distances in Å follow each position.
Atoms (fractional coordinates):
1 Ag 0.5904 0.4684 0.7564  6 K 3.58-3.84, 1 Rb 3.94
2 K 0.5664 0.2316 0.5681  2 Ag 3.58-3.75
3 O 0.0000 0.0000 0.0000  6 K 2.62-2.65
4 K 0.4336 0.7684 0.4319  2 Ag 3.58-3.75
5 Rb 0.0000 0.0000 0.5000  2 Ag 3.94, 4 K 4.37
6 K 0.7423 0.7822 0.9104  1 O 2.65
7 K 0.7603 0.1010 0.0604  1 O 2.65
8 K 0.2397 0.8990 0.9396  1 O 2.65
9 K 0.9106 0.6181 0.2262  1 O 2.62
10 Ag 0.4096 0.5316 0.2436  6 K 3.58-3.84, 1 Rb 3.94
11 K 0.2577 0.2178 0.0896  1 O 2.65
12 K 0.0894 0.3819 0.7738  1 O 2.62

---

Computed, not measured: a relaxed structure of Li3Zn5Hg12 at the GGA-PBE level of DFT.

Energy of formation from the pure elements   0.052 eV per atom
Total DFT energy (no corrections)   -58.809 eV/cell
Symmetry   Ia-3d
DOS at the Fermi energy   46.74 states/eV/cell

Cell: 13.9051 13.9051 13.9051 Å, 109.47 109.47 109.47°
Closest atoms and distances in Å follow each position.
Atoms (fractional coordinates):
1 Zn 0.5000 0.0000 0.5000  6 Hg 2.77
2 Hg 0.1719 0.0651 0.9395  2 Zn 2.67-2.77, 1 Li 2.72
3 Hg 0.6719 0.2324 0.6068  2 Zn 2.67-2.77, 1 Li 2.72
4 Hg 0.1256 0.3932 0.0651  2 Zn 2.67-2.77, 1 Li 2.72
5 Hg 0.1719 0.1068 0.7324  2 Zn 2.67-2.77, 1 Li 2.72
6 Hg 0.3932 0.2676 0.3281  2 Zn 2.67-2.77, 1 Li 2.72
7 Zn 0.5000 0.0000 0.0000  6 Hg 2.77
8 Hg 0.4395 0.6719 0.0651  2 Zn 2.67-2.77, 1 Li 2.72
9 Zn 0.8750 0.2500 0.6250  4 Hg 2.67
10 Hg 0.2324 0.5605 0.6256  2 Zn 2.67-2.77, 1 Li 2.72
11 Zn 0.1250 0.7500 0.3750  4 Hg 2.67
12 Hg 0.8932 0.0651 0.6256  2 Zn 2.67-2.77, 1 Li 2.72
13 Zn 0.2500 0.8750 0.1250  4 Hg 2.67
14 Hg 0.7676 0.3281 0.8932  2 Zn 2.67-2.77, 1 Li 2.72
15 Li 0.8750 0.7500 0.1250  4 Hg 2.72
16 Hg 0.3932 0.1256 0.5651  2 Zn 2.67-2.77, 1 Li 2.72
17 Zn 0.1250 0.3750 0.2500  4 Hg 2.67
18 Li 0.6250 0.2500 0.3750  4 Hg 2.72
19 Hg 0.9349 0.1068 0.8744  2 Zn 2.67-2.77, 1 Li 2.72
20 Hg 0.8932 0.8281 0.7676  2 Zn 2.67-2.77, 1 Li 2.72
21 Hg 0.3281 0.7676 0.3932  2 Zn 2.67-2.77, 1 Li 2.72
22 Li 0.8750 0.1250 0.2500  4 Hg 2.72
23 Hg 0.5651 0.6256 0.3932  2 Zn 2.67-2.77, 1 Li 2.72
24 Hg 0.2676 0.3932 0.8281  2 Zn 2.67-2.77, 1 Li 2.72
25 Li 0.1250 0.2500 0.8750  4 Hg 2.72
26 Li 0.2500 0.6250 0.8750  4 Hg 2.72
27 Li 0.3750 0.7500 0.6250  4 Hg 2.72
28 Li 0.7500 0.8750 0.6250  4 Hg 2.72
29 Hg 0.4349 0.3744 0.6068  2 Zn 2.67-2.77, 1 Li 2.72
30 Hg 0.8281 0.9349 0.0605  2 Zn 2.67-2.77, 1 Li 2.72
31 Hg 0.0651 0.8932 0.1256  2 Zn 2.67-2.77, 1 Li 2.72
32 Hg 0.8281 0.8932 0.2676  2 Zn 2.67-2.77, 1 Li 2.72
33 Hg 0.6256 0.5651 0.8932  2 Zn 2.67-2.77, 1 Li 2.72
34 Hg 0.1068 0.9349 0.3744  2 Zn 2.67-2.77, 1 Li 2.72
35 Li 0.6250 0.3750 0.7500  4 Hg 2.72
36 Hg 0.2324 0.6719 0.1068  2 Zn 2.67-2.77, 1 Li 2.72
37 Zn 0.3750 0.2500 0.1250  4 Hg 2.67
38 Hg 0.6719 0.4395 0.5651  2 Zn 2.67-2.77, 1 Li 2.72
39 Zn 0.2500 0.3750 0.6250  4 Hg 2.67
40 Li 0.7500 0.3750 0.1250  4 Hg 2.72
41 Hg 0.5651 0.9395 0.6719  2 Zn 2.67-2.77, 1 Li 2.72
42 Zn 0.0000 0.5000 0.0000  6 Hg 2.77
43 Zn 0.6250 0.7500 0.8750  4 Hg 2.67
44 Zn 0.7500 0.6250 0.3750  4 Hg 2.67
45 Hg 0.7676 0.4395 0.3744  2 Zn 2.67-2.77, 1 Li 2.72
46 Hg 0.3744 0.4349 0.1068  2 Zn 2.67-2.77, 1 Li 2.72
47 Hg 0.6256 0.0605 0.2324  2 Zn 2.67-2.77, 1 Li 2.72
48 Hg 0.9395 0.3744 0.2676  2 Zn 2.67-2.77, 1 Li 2.72
49 Li 0.3750 0.6250 0.2500  4 Hg 2.72
50 Hg 0.1068 0.1719 0.2324  2 Zn 2.67-2.77, 1 Li 2.72
51 Zn 0.0000 0.5000 0.5000  6 Hg 2.77
52 Hg 0.9349 0.8281 0.5605  2 Zn 2.67-2.77, 1 Li 2.72
53 Hg 0.2676 0.8744 0.9395  2 Zn 2.67-2.77, 1 Li 2.72
54 Li 0.2500 0.1250 0.3750  4 Hg 2.72
55 Zn 0.5000 0.5000 0.5000  6 Hg 2.77
56 Hg 0.5605 0.3281 0.9349  2 Zn 2.67-2.77, 1 Li 2.72
57 Hg 0.4349 0.0605 0.3281  2 Zn 2.67-2.77, 1 Li 2.72
58 Hg 0.8744 0.6068 0.9349  2 Zn 2.67-2.77, 1 Li 2.72
59 Hg 0.5605 0.2324 0.1256  2 Zn 2.67-2.77, 1 Li 2.72
60 Hg 0.3744 0.9395 0.7676  2 Zn 2.67-2.77, 1 Li 2.72
61 Zn 0.7500 0.1250 0.8750  4 Hg 2.67
62 Hg 0.6068 0.8744 0.4349  2 Zn 2.67-2.77, 1 Li 2.72
63 Zn 0.0000 0.0000 0.5000  6 Hg 2.77
64 Hg 0.6068 0.7324 0.6719  2 Zn 2.67-2.77, 1 Li 2.72
65 Hg 0.0651 0.1719 0.4395  2 Zn 2.67-2.77, 1 Li 2.72
66 Zn 0.0000 0.0000 0.0000  6 Hg 2.77
67 Zn 0.8750 0.6250 0.7500  4 Hg 2.67
68 Hg 0.3281 0.5605 0.4349  2 Zn 2.67-2.77, 1 Li 2.72
69 Zn 0.3750 0.1250 0.7500  4 Hg 2.67
70 Hg 0.7324 0.1256 0.0605  2 Zn 2.67-2.77, 1 Li 2.72
71 Hg 0.0605 0.4349 0.8281  2 Zn 2.67-2.77, 1 Li 2.72
72 Zn 0.6250 0.8750 0.2500  4 Hg 2.67
73 Hg 0.1256 0.7324 0.5605  2 Zn 2.67-2.77, 1 Li 2.72
74 Li 0.1250 0.8750 0.7500  4 Hg 2.72
75 Hg 0.8744 0.2676 0.4395  2 Zn 2.67-2.77, 1 Li 2.72
76 Hg 0.0605 0.6256 0.7324  2 Zn 2.67-2.77, 1 Li 2.72
77 Zn 0.5000 0.5000 0.0000  6 Hg 2.77
78 Hg 0.7324 0.6068 0.1719  2 Zn 2.67-2.77, 1 Li 2.72
79 Hg 0.4395 0.7676 0.8744  2 Zn 2.67-2.77, 1 Li 2.72
80 Hg 0.9395 0.5651 0.1719  2 Zn 2.67-2.77, 1 Li 2.72

---

Computed, not measured: a relaxed structure of Ac7In2Ir2 at the GGA-PBE level of DFT.

Energy of formation from the pure elements   -0.402 eV per atom
Total DFT energy (no corrections)   -56.375 eV/cell
Symmetry   Cmmm
DOS at the Fermi energy   10.71 states/eV/cell

Cell: 7.4936 7.6506 7.4936 Å, 90.00 108.20 90.00°
Closest atoms and distances in Å follow each position.
Atoms (fractional coordinates):
1 Ac 0.5003 0.7490 0.9998  2 Ir 2.96
2 Ac 0.0000 0.0000 0.0000  2 Ir 3.55
3 Ac 0.9998 0.2510 0.5003  2 Ir 2.96
4 Ac 0.0002 0.7490 0.4997  2 Ir 2.96
5 In 0.1647 0.5000 0.1647  1 In 2.89
6 Ir 0.2928 0.0000 0.7072  6 Ac 2.96-3.14
7 Ac 0.5002 0.7548 0.4998  2 Ir 3.14
8 In 0.8353 0.5000 0.8353  1 In 2.89
9 Ir 0.7072 0.0000 0.2928  6 Ac 2.96-3.14
10 Ac 0.4998 0.2452 0.5002  2 Ir 3.14
11 Ac 0.4997 0.2510 0.0002  2 Ir 2.96

---

Computed, not measured: a relaxed structure of HPbIN2 at the GGA-PBE level of DFT.

Total DFT energy (no corrections)   -15.664 eV/cell
Symmetry   P4/mmm
DOS at the Fermi energy   1.74 states/eV/cell

Cell: 5.2376 5.2376 3.8982 Å, 90.00 90.00 90.00°
Closest atoms and distances in Å follow each position.
Atoms (fractional coordinates):
1 I 0.0000 0.0000 0.5000  2 H 1.95
2 N 0.0000 0.5000 0.0000  2 H 2.62
3 H 0.0000 0.0000 0.0000  2 I 1.95
4 N 0.5000 0.0000 0.0000  2 H 2.62
5 Pb 0.5000 0.5000 0.5000  8 N 3.26

---

Computed, not measured: a relaxed structure of Ce2DyIn at the GGA-PBE level of DFT.

Energy of formation from the pure elements   -0.211 eV per atom
Total DFT energy (no corrections)   -20.053 eV/cell
Symmetry   P4/mmm
DOS at the Fermi energy   9.83 states/eV/cell

Cell: 5.1530 4.6354 4.6354 Å, 90.00 90.00 90.00°
Closest atoms and distances in Å follow each position.
Atoms (fractional coordinates):
1 Dy 0.5000 0.5000 0.5000  4 In 3.28, 8 Ce 3.47
2 In 0.5000 0.0000 0.0000  4 Dy 3.28, 8 Ce 3.47
3 Ce 0.0000 0.0000 0.5000  4 Ce 3.28, 4 In 3.47, 4 Dy 3.47
4 Ce 0.0000 0.5000 0.0000  4 Ce 3.28, 4 In 3.47, 4 Dy 3.47

---

Computed, not measured: a relaxed structure of NdPaRu at the GGA-PBE level of DFT.

Energy of formation from the pure elements   -0.091 eV per atom
Total DFT energy (no corrections)   -23.812 eV/cell
Symmetry   P-6m2
DOS at the Fermi energy   4.97 states/eV/cell

Cell: 4.9629 4.3671 4.3671 Å, 120.00 90.00 90.00°
Closest atoms and distances in Å follow each position.
Atoms (fractional coordinates):
1 Ru 0.1662 0.6667 0.3333  3 Pa 2.52
2 Nd 0.6667 0.3333 0.6667  6 Ru 3.54, 6 Pa 3.54
3 Pa 0.1670 0.0000 0.0000  3 Ru 2.52

---

Computed, not measured: a relaxed structure of LiCa7Ge3H3 at the GGA-PBE level of DFT.

Total DFT energy (no corrections)   -192.194 eV/cell
Symmetry   Pnma

Cell: 8.7496 9.8622 13.7565 Å, 90.00 90.00 90.00°
Closest atoms and distances in Å follow each position.
Atoms (fractional coordinates):
1 Ca 0.5550 0.4098 0.6095  2 H 2.62-2.63
2 H 0.9584 0.2479 0.2500  1 Li 2.09
3 Li 0.2448 0.8644 0.7500  2 H 2.09-2.17
4 Ca 0.1945 0.3844 0.2500  4 H 2.47-2.52
5 Ca 0.0550 0.0902 0.1095  2 H 2.62-2.63
6 Ca 0.1702 0.6134 0.6109  2 H 2.60-2.61
7 Ca 0.0463 0.6846 0.3808  2 H 2.52-2.57
8 Ge 0.2885 0.8690 0.4749  7 Ca 3.05-3.30
9 Ca 0.9450 0.9098 0.6095  2 H 2.62-2.63
10 H 0.7479 0.8661 0.7500  6 Ca 2.50-2.63, 2 H 2.75-2.81
11 Ca 0.3298 0.1134 0.8891  2 H 2.60-2.61
12 H 0.9589 0.5239 0.2500  1 Li 2.17
13 Ca 0.1702 0.6134 0.8891  2 H 2.60-2.61
14 Ca 0.5463 0.8154 0.6192  2 H 2.52-2.57
15 Ca 0.9537 0.3154 0.6192  2 H 2.52-2.57
16 Ge 0.5755 0.3935 0.2500  2 Li 2.81-2.99, 6 Ca 2.94-2.97
17 Ca 0.4450 0.5902 0.1095  2 H 2.62-2.63
18 Ca 0.4537 0.1846 0.3808  2 H 2.52-2.57
19 H 0.2521 0.1339 0.2500  6 Ca 2.50-2.63, 2 H 2.75-2.81
20 Ge 0.9245 0.8935 0.2500  2 Li 2.81-2.99, 6 Ca 2.94-2.97
21 H 0.2479 0.6339 0.2500  6 Ca 2.50-2.63, 2 H 2.75-2.81
22 Ca 0.9537 0.3154 0.8808  2 H 2.52-2.57
23 Ca 0.6702 0.8866 0.3891  2 H 2.60-2.61
24 Ca 0.3055 0.8844 0.2500  4 H 2.47-2.52
25 Ge 0.7115 0.1310 0.5251  7 Ca 3.05-3.30
26 Ca 0.8298 0.3866 0.3891  2 H 2.60-2.61
27 Ca 0.3298 0.1134 0.6109  2 H 2.60-2.61
28 H 0.5416 0.7479 0.2500  1 Li 2.09
29 Li 0.7448 0.6356 0.2500  2 H 2.09-2.17
30 Ca 0.8298 0.3866 0.1109  2 H 2.60-2.61
31 Ca 0.5550 0.4098 0.8905  2 H 2.62-2.63
32 Ca 0.4450 0.5902 0.3905  2 H 2.62-2.63
33 Ge 0.2115 0.3690 0.0251  7 Ca 3.05-3.30
34 H 0.7521 0.3661 0.7500  6 Ca 2.50-2.63, 2 H 2.75-2.81
35 Ca 0.5463 0.8154 0.8808  2 H 2.52-2.57
36 Ca 0.9450 0.9098 0.8905  2 H 2.62-2.63
37 Ca 0.6702 0.8866 0.1109  2 H 2.60-2.61
38 Ge 0.2885 0.8690 0.0251  7 Ca 3.05-3.30
39 Ge 0.7885 0.6310 0.5251  7 Ca 3.05-3.30
40 H 0.5411 0.0239 0.2500  1 Li 2.17
41 Ge 0.7115 0.1310 0.9749  7 Ca 3.05-3.30
42 Ca 0.6945 0.1156 0.7500  4 H 2.47-2.52
43 H 0.0411 0.4761 0.7500  1 Li 2.17
44 Ge 0.7885 0.6310 0.9749  7 Ca 3.05-3.30
45 Ge 0.4245 0.6065 0.7500  2 Li 2.81-2.99, 6 Ca 2.94-2.97
46 H 0.4589 0.9761 0.7500  1 Li 2.17
47 Ge 0.2115 0.3690 0.4749  7 Ca 3.05-3.30
48 Ca 0.8055 0.6156 0.7500  4 H 2.47-2.52
49 H 0.4584 0.2521 0.7500  1 Li 2.09
50 Ca 0.0463 0.6846 0.1192  2 H 2.52-2.57
51 H 0.0416 0.7521 0.7500  1 Li 2.09
52 Li 0.7552 0.1356 0.2500  2 H 2.09-2.17
53 Ca 0.4537 0.1846 0.1192  2 H 2.52-2.57
54 Li 0.2552 0.3644 0.7500  2 H 2.09-2.17
55 Ca 0.0550 0.0902 0.3905  2 H 2.62-2.63
56 Ge 0.0755 0.1065 0.7500  2 Li 2.81-2.99, 6 Ca 2.94-2.97

---

Computed, not measured: a relaxed structure of Ba2OsPt at the GGA-PBE level of DFT.

Energy of formation from the pure elements   0.533 eV per atom
Total DFT energy (no corrections)   -18.983 eV/cell
Symmetry   Fm-3m
DOS at the Fermi energy   4.05 states/eV/cell

Cell: 5.4665 5.4665 5.4665 Å, 60.00 60.00 60.00°
Closest atoms and distances in Å follow each position.
Atoms (fractional coordinates):
1 Os 0.0000 0.0000 0.0000  8 Ba 3.35
2 Ba 0.7500 0.7500 0.7500  4 Pt 3.35, 4 Os 3.35
3 Ba 0.2500 0.2500 0.2500  4 Pt 3.35, 4 Os 3.35
4 Pt 0.5000 0.5000 0.5000  8 Ba 3.35